## LiGa2Pd8 (PBE)

Data for LiGa2Pd8 after structural relaxation.

Output
The energy of formation comes out at -409.9 meV/atom. The volume comes out at 168 Å³/f.u. The calculation puts the polymorph energy (0 for the lowest one) at 0.000 eV per atom. Its crystal system is orthorhombic. The density of states at the Fermi level comes out at 0.70 states/eV/atom. Its magnetization is 0.00 μB per formula unit.

a = 7.1010 Å, b = 7.1010 Å, c = 7.1010 Å
α = 146.62°, β = 120.03°, γ = 70.39°
Sites, in units of the cell vectors:
Li  0.0000  0.0000  0.0000
Ga  0.3030  0.3030  0.0000
Ga  0.6970  0.6970  0.0000
Pd  0.1197  0.8400  0.2798
Pd  0.1412  0.6412  0.5000
Pd  0.3100  0.5000  0.8100
Pd  0.4398  0.1600  0.2798
Pd  0.5602  0.8400  0.7202
Pd  0.6900  0.5000  0.1900
Pd  0.8588  0.3588  0.5000
Pd  0.8803  0.1600  0.7202

## LiGaPd2 (PBE)

Data for LiGaPd2 after structural relaxation.

Output
The energy of formation comes out at -342.8 meV/atom. The volume comes out at 63 Å³/f.u. Its crystal system is tetragonal. The density of states at the Fermi level comes out at 0.16 states/eV/atom. Its magnetization is 0.00 μB per formula unit.

a = 5.5257 Å, b = 5.5257 Å, c = 5.5257 Å
α = 104.70°, β = 104.70°, γ = 119.51°
Sites, in units of the cell vectors:
Li  0.0000  0.0000  0.0000
Li  0.7500  0.2500  0.5000
Ga  0.2500  0.7500  0.5000
Ga  0.5000  0.5000  0.0000
Pd  0.1339  0.6250  0.0089
Pd  0.3750  0.3839  0.5089
Pd  0.6161  0.1250  0.9911
Pd  0.8750  0.8661  0.4911

## Li2GaPd5 (PBE)

Data for Li2GaPd5 after structural relaxation.

Output
The energy of formation comes out at -513.8 meV/atom. The volume comes out at 115 Å³/f.u. The calculation puts the polymorph energy (0 for the lowest one) at 0.000 eV per atom. Its crystal system is orthorhombic. The density of states at the Fermi level comes out at 0.54 states/eV/atom. Its magnetization is 0.00 μB per formula unit.

a = 5.3545 Å, b = 10.3557 Å, c = 4.1463 Å
α = 90.00°, β = 90.00°, γ = 90.00°
Sites, in units of the cell vectors:
Li  0.1586  0.1338  0.0000
Li  0.3414  0.6338  0.0000
Li  0.6586  0.3662  0.0000
Li  0.8414  0.8662  0.0000
Ga  0.0000  0.5000  0.5000
Ga  0.5000  0.0000  0.5000
Pd  0.0000  0.0000  0.5000
Pd  0.1184  0.7364  0.5000
Pd  0.1734  0.3879  0.0000
Pd  0.3266  0.8879  0.0000
Pd  0.3816  0.2364  0.5000
Pd  0.5000  0.5000  0.5000
Pd  0.6184  0.7636  0.5000
Pd  0.6734  0.1121  0.0000
Pd  0.8266  0.6121  0.0000
Pd  0.8816  0.2636  0.5000

## Li2Ga3Pd3 (PBE)

Data for Li2Ga3Pd3 after structural relaxation.

Output
The energy of formation comes out at -524.1 meV/atom. The volume comes out at 122 Å³/f.u. The calculation puts the polymorph energy (0 for the lowest one) at 0.000 eV per atom. Its crystal system is hexagonal. The density of states at the Fermi level comes out at 0.16 states/eV/atom. Its magnetization is 0.00 μB per formula unit.

a = 7.4852 Å, b = 7.4852 Å, c = 5.0218 Å
α = 90.00°, β = 90.00°, γ = 120.00°
Sites, in units of the cell vectors:
Li  0.3333  0.6667  0.0000
Li  0.3333  0.6667  0.5000
Li  0.6667  0.3333  0.0000
Li  0.6667  0.3333  0.5000
Ga  0.0000  0.3771  0.2500
Ga  0.0000  0.6229  0.7500
Ga  0.3771  0.0000  0.2500
Ga  0.3771  0.3771  0.7500
Ga  0.6229  0.0000  0.7500
Ga  0.6229  0.6229  0.2500
Pd  0.0000  0.2789  0.7500
Pd  0.0000  0.7211  0.2500
Pd  0.2789  0.0000  0.7500
Pd  0.2789  0.2789  0.2500
Pd  0.7211  0.0000  0.2500
Pd  0.7211  0.7211  0.7500

## LiGaPd6 (PBE)

Data for LiGaPd6 after structural relaxation.

Output
The energy of formation comes out at -232.1 meV/atom. The volume comes out at 126 Å³/f.u. The calculation puts the polymorph energy (0 for the lowest one) at 0.119 eV per atom. Its crystal system is triclinic. The density of states at the Fermi level comes out at 0.89 states/eV/atom. Its magnetization is 0.00 μB per formula unit.

a = 4.9804 Å, b = 5.0178 Å, c = 5.0837 Å
α = 94.93°, β = 94.50°, γ = 95.53°
Sites, in units of the cell vectors:
Li  0.0000  0.0000  0.0000
Ga  0.5000  0.5000  0.5000
Pd  0.0536  0.5484  0.2578
Pd  0.2592  0.0527  0.5594
Pd  0.4539  0.7406  0.9429
Pd  0.5461  0.2594  0.0571
Pd  0.7408  0.9473  0.4406
Pd  0.9464  0.4516  0.7422

## Li6GaPd3 (PBE)

Data for Li6GaPd3 after structural relaxation.

Output
The energy of formation comes out at -348.3 meV/atom. The volume comes out at 152 Å³/f.u. Its crystal system is orthorhombic. The density of states at the Fermi level comes out at 0.33 states/eV/atom. Its magnetization is 0.00 μB per formula unit.

a = 8.4858 Å, b = 8.4858 Å, c = 4.8360 Å
α = 90.00°, β = 90.00°, γ = 119.35°
Sites, in units of the cell vectors:
Li  0.0430  0.4457  0.9713
Li  0.0495  0.9505  0.5000
Li  0.2971  0.7029  0.2762
Li  0.3015  0.3779  0.1503
Li  0.3779  0.3015  0.6503
Li  0.4457  0.0430  0.4713
Li  0.5543  0.9570  0.9713
Li  0.6221  0.6985  0.1503
Li  0.6985  0.6221  0.6503
Li  0.7029  0.2971  0.7762
Li  0.9505  0.0495  0.0000
Li  0.9570  0.5543  0.4713
Ga  0.2138  0.7862  0.7833
Ga  0.7862  0.2138  0.2833
Pd  0.0621  0.2879  0.5441
Pd  0.2879  0.0621  0.0441
Pd  0.3817  0.6183  0.7193
Pd  0.6183  0.3817  0.2193
Pd  0.7121  0.9379  0.5441
Pd  0.9379  0.7121  0.0441

## Li2Ga2Pd7 (PBE)

Data for Li2Ga2Pd7 after structural relaxation.

Output
The energy of formation comes out at -410.3 meV/atom. The volume comes out at 170 Å³/f.u. Its crystal system is orthorhombic. The density of states at the Fermi level comes out at 0.42 states/eV/atom. Its magnetization is 0.00 μB per formula unit.

a = 7.1735 Å, b = 7.1735 Å, c = 7.1735 Å
α = 150.32°, β = 109.15°, γ = 78.65°
Sites, in units of the cell vectors:
Li  0.1815  0.1815  0.0000
Li  0.8185  0.8185  0.0000
Ga  0.2526  0.0000  0.2526
Ga  0.7474  0.0000  0.7474
Pd  0.0000  0.5000  0.5000
Pd  0.0866  0.3411  0.7455
Pd  0.3582  0.8582  0.5000
Pd  0.4043  0.6589  0.7455
Pd  0.5957  0.3411  0.2545
Pd  0.6418  0.1418  0.5000
Pd  0.9134  0.6589  0.2545

## LiGaPd (PBE)

Data for LiGaPd after structural relaxation.

Output
The energy of formation comes out at -596.5 meV/atom. The volume comes out at 43 Å³/f.u. Its crystal system is trigonal. The density of states at the Fermi level comes out at 0.42 states/eV/atom. Its magnetization is 0.00 μB per formula unit.

a = 4.2947 Å, b = 4.2947 Å, c = 5.3642 Å
α = 90.00°, β = 90.00°, γ = 120.00°
Sites, in units of the cell vectors:
Li  0.0000  0.0000  0.0000
Li  0.3333  0.6667  0.8372
Ga  0.0000  0.0000  0.5115
Ga  0.6667  0.3333  0.1510
Pd  0.3333  0.6667  0.3347
Pd  0.6667  0.3333  0.6616

## LiGa6Pd (PBE)

Data for LiGa6Pd after structural relaxation.

Output
The energy of formation comes out at -199.2 meV/atom. The volume comes out at 141 Å³/f.u. Its crystal system is monoclinic. The density of states at the Fermi level comes out at 0.25 states/eV/atom. Its magnetization is 0.00 μB per formula unit.

a = 5.3700 Å, b = 5.3700 Å, c = 5.4536 Å
α = 97.90°, β = 97.90°, γ = 112.68°
Sites, in units of the cell vectors:
Li  0.0000  0.0000  0.0000
Ga  0.0787  0.5786  0.2555
Ga  0.4214  0.9213  0.7445
Ga  0.4393  0.4393  0.7436
Ga  0.5607  0.5607  0.2564
Ga  0.5786  0.0787  0.2555
Ga  0.9213  0.4214  0.7445
Pd  0.0000  0.0000  0.5000

## Li3Ga2Pd2 (PBE)

Data for Li3Ga2Pd2 after structural relaxation.

Output
The energy of formation comes out at -575.7 meV/atom. The volume comes out at 101 Å³/f.u. The calculation puts the polymorph energy (0 for the lowest one) at 0.000 eV per atom. Its crystal system is monoclinic. The density of states at the Fermi level comes out at 0.35 states/eV/atom. Its magnetization is 0.00 μB per formula unit.

a = 4.3050 Å, b = 4.3050 Å, c = 6.7739 Å
α = 108.82°, β = 108.82°, γ = 60.10°
Sites, in units of the cell vectors:
Li  0.0000  0.0000  0.0000
Li  0.1415  0.1415  0.4237
Li  0.8585  0.8585  0.5763
Ga  0.4216  0.4216  0.2642
Ga  0.5784  0.5784  0.7358
Pd  0.2826  0.2826  0.8476
Pd  0.7174  0.7174  0.1524

no.,uncorrected energy (eV for the cell shown)
1,-54.02
2,-33.39
3,-73.86
4,-65.36
5,-37.95
6,-67.14
7,-50.74
8,-23.85
9,-26.86
10,-26.21